First-principles (PBE-GGA) data for a relaxed YMnW2 crystal, as listed in Alexandria.

Lattice parameters (Å, degrees): 5.051 5.051 5.312 71.05 71.05 36.56
Sites, in units of the cell vectors:
Mn 0.724 0.724 0.851
W 0.011 0.011 0.986
W 0.278 0.278 0.154
Y 0.488 0.488 0.508

Values from the calculation:
Uncorrected energy in eV/atom: -9.8524
DOS(E_F) in states/eV/cell: 3.4
Calculated formation energy in eV/atom: 0.533
Space-group type: Cm (8)

First-principles (PBE-GGA) data for a relaxed NbPWCl2 crystal, as listed in Alexandria.

Lattice parameters (Å, degrees): 4.712 4.712 5.192 90.00 90.00 90.00
Sites, in units of the cell vectors:
P 0.000 0.000 0.500
Nb 0.000 0.000 0.000
W 0.500 0.500 0.500
Cl 0.000 0.500 0.000
Cl 0.500 0.000 0.000

Values from the calculation:
Uncorrected energy in eV/atom: -5.5228
DOS(E_F) in states/eV/cell: 3.8
Space-group type: P4/mmm (123)
ΔE_f (raw) in meV per atom: 902

First-principles (PBE-GGA) data for a relaxed Sm2HgIr2 crystal, as listed in Alexandria.

Lattice parameters (Å, degrees): 4.499 5.625 5.625 64.49 66.42 66.43
Sites, in units of the cell vectors:
Sm 0.290 0.210 0.710
Sm 0.710 0.790 0.290
Hg 0.500 0.500 0.000
Ir 0.000 0.208 0.292
Ir 0.000 0.792 0.708

Values from the calculation:
Uncorrected energy in eV/atom: -6.1028
DOS(E_F) in states/eV/cell: 3.0
Calculated formation energy in eV/atom: -0.610
Space-group type: Immm (71)

First-principles (PBE-GGA) data for a relaxed Sc6SbRu5 crystal, as listed in Alexandria.

Lattice parameters (Å, degrees): 4.566 6.682 7.952 114.84 106.68 90.00
Sites, in units of the cell vectors:
Sc 0.826 0.564 0.653
Sc 0.826 0.089 0.653
Sc 0.500 0.725 0.000
Sc 0.500 0.275 0.000
Sc 0.174 0.911 0.347
Sc 0.174 0.436 0.347
Sb 0.000 0.000 0.000
Ru 0.662 0.162 0.323
Ru 0.332 0.332 0.663
Ru 0.000 0.500 0.000
Ru 0.668 0.668 0.337
Ru 0.338 0.838 0.677

Values from the calculation:
Uncorrected energy in eV/atom: -7.9933
DOS(E_F) in states/eV/cell: 3.3
Space-group type: Immm (71)
ΔE_f (raw) in meV per atom: -619

First-principles (PBE-GGA) data for a relaxed SrYRu3 crystal, as listed in Alexandria.

Lattice parameters (Å, degrees): 5.029 5.029 5.029 90.00 90.00 90.00
Sites, in units of the cell vectors:
Y 0.000 0.000 0.000
Ru 0.000 0.500 0.000
Ru 0.000 0.000 0.500
Ru 0.500 0.000 0.000
Sr 0.500 0.500 0.500

Values from the calculation:
Uncorrected energy in eV/atom: -5.8696
DOS(E_F) in states/eV/cell: 8.9
Calculated formation energy in eV/atom: 1.325
Space-group type: Pm-3m (221)

First-principles (PBE-GGA) data for a relaxed AsS2I crystal, as listed in Alexandria.

Lattice parameters (Å, degrees): 4.875 4.875 4.875 60.00 60.00 60.00
Sites, in units of the cell vectors:
I 0.500 0.500 0.500
As 0.000 0.000 0.000
S 0.250 0.250 0.250
S 0.750 0.750 0.750

Values from the calculation:
Uncorrected energy in eV/atom: -2.7713
DOS(E_F) in states/eV/cell: 3.9
Space-group type: Fm-3m (225)
ΔE_f (raw) in meV per atom: 842